[1]
This record from Alexandria via LeMat-Bulk describes a relaxed structure of LiAcC. The functional is PBE-GGA.

Lattice parameters (Å, degrees): 4.428 4.428 4.428 60.00 60.00 60.00
Atoms (fractional coordinates):
C  0.250  0.250  0.250
Ac  0.500  0.500  0.500
Li  0.000  0.000  0.000

Results
- ΔH_f (0 K) (kJ/mol of atoms) = 22.7
- total magnetization (μB/cell) = 0.0
- crystal system = cubic
- D(E_F) (states/eV/atom) = 0.5709



[2]
This record from Alexandria via LeMat-Bulk describes a relaxed structure of Zr2PaTcC4. The functional is PBE-GGA.

Lattice parameters (Å, degrees): 3.351 6.038 11.393 90.00 90.00 106.11
Atoms (fractional coordinates):
Zr  0.631  0.262  0.460
Zr  0.369  0.738  0.540
Zr  0.631  0.262  0.040
Zr  0.369  0.738  0.960
Tc  0.851  0.702  0.750
Tc  0.149  0.298  0.250
C  0.548  0.097  0.250
C  0.734  0.468  0.625
C  0.000  0.000  0.000
C  0.266  0.532  0.125
C  0.000  0.000  0.500
C  0.452  0.903  0.750
C  0.266  0.532  0.375
C  0.734  0.468  0.875
Pa  0.112  0.223  0.750
Pa  0.888  0.777  0.250

Results
- ΔH_f (0 K) (kJ/mol of atoms) = -33.0
- total magnetization (μB/cell) = 0.0
- crystal system = orthorhombic
- D(E_F) (states/eV/atom) = 0.4593



[3]
This record from Alexandria via LeMat-Bulk describes a relaxed structure of YAl3Os. The functional is PBE-GGA.

Lattice parameters (Å, degrees): 6.431 6.431 6.431 90.00 90.00 90.00
Atoms (fractional coordinates):
Os  0.000  0.000  0.500
Os  0.000  0.500  0.000
Os  0.500  0.000  0.000
Al  0.791  0.791  0.791
Al  0.209  0.209  0.791
Al  0.791  0.209  0.209
Al  0.209  0.791  0.791
Al  0.791  0.209  0.791
Al  0.791  0.791  0.209
Al  0.209  0.209  0.209
Al  0.500  0.500  0.500
Al  0.209  0.791  0.209
Y  0.000  0.500  0.500
Y  0.500  0.000  0.500
Y  0.500  0.500  0.000

Results
- ΔH_f (0 K) (kJ/mol of atoms) = -54.1
- total magnetization (μB/cell) = 0.0
- crystal system = cubic
- relative energy among the computed polymorphs (meV per atom) = 0
- D(E_F) (states/eV/atom) = 0.3780



[4]
This record from Alexandria via LeMat-Bulk describes a relaxed structure of Ba3NbCu2Se6. The functional is PBE-GGA.

Lattice parameters (Å, degrees): 7.561 7.561 8.203 90.00 90.00 120.00
Atoms (fractional coordinates):
Nb  0.000  0.000  0.500
Ba  0.000  0.000  0.000
Ba  0.333  0.667  0.645
Ba  0.667  0.333  0.355
Se  0.317  0.158  0.699
Se  0.683  0.842  0.301
Se  0.842  0.158  0.699
Se  0.158  0.317  0.301
Se  0.158  0.842  0.301
Se  0.842  0.683  0.699
Cu  0.333  0.667  0.274
Cu  0.667  0.333  0.726

Results
- uncorrected formation energy (kJ/mol of atoms) = -97.98
- total magnetization (μB/cell) = 1.0
- crystal system = trigonal
- D(E_F) (states/eV/atom) = 0.2635



[5]
This record from Alexandria via LeMat-Bulk describes a relaxed structure of LiNdCdSn. The functional is PBE-GGA.

Lattice parameters (Å, degrees): 5.215 5.215 5.215 60.00 60.00 60.00
Atoms (fractional coordinates):
Nd  0.750  0.750  0.750
Cd  0.000  0.000  0.000
Li  0.250  0.250  0.250
Sn  0.500  0.500  0.500

Results
- ΔH_f (0 K) (kJ/mol of atoms) = -43.8
- total magnetization (μB/cell) = 0.0
- crystal system = cubic
- relative energy among the computed polymorphs (meV per atom) = 0
- D(E_F) (states/eV/atom) = 0.3864



[6]
This record from Alexandria via LeMat-Bulk describes a relaxed structure of MoIr6Rh. The functional is PBE-GGA.

Lattice parameters (Å, degrees): 4.420 5.530 5.530 120.00 90.00 90.00
Atoms (fractional coordinates):
Ir  0.500  0.415  0.083
Ir  0.500  0.917  0.585
Ir  0.000  0.081  0.416
Ir  0.000  0.584  0.919
Ir  0.500  0.917  0.083
Ir  0.000  0.584  0.416
Rh  0.000  0.083  0.917
Mo  0.500  0.417  0.583

Results
- ΔH_f (0 K) (kJ/mol of atoms) = -11.2
- total magnetization (μB/cell) = 0.0
- crystal system = hexagonal
- D(E_F) (states/eV/atom) = 1.3471